The following is a DFT calculation (PBE-GGA) of Dy5Sn2 after structural relaxation.

Calculated values
**Space group**: Cmcm
**Volume**: 411 Å³/cell
**Formation enthalpy at 0 K**: -3.26 eV per formula unit
**Final energy**: -4.90 eV per atom

a = 19.8532 Å, b = 19.8532 Å, c = 4.5638 Å
α = 90.00°, β = 90.00°, γ = 166.79°
Closest atoms and distances in Å follow each position.
Fractional positions:
Dy (0.0362, 0.9638, 0.7500)  4 Dy 3.23, 2 Sn 3.29
Dy (0.1104, 0.8896, 0.2500)  5 Sn 3.15-3.28
Dy (0.2500, 0.7500, 0.7500)  4 Dy 3.23, 4 Sn 3.28
Dy (0.3242, 0.6758, 0.2500)  5 Sn 3.14-3.28
Dy (0.4642, 0.5358, 0.7500)  4 Dy 3.23, 2 Sn 3.30
Dy (0.5358, 0.4642, 0.2500)  4 Dy 3.23, 2 Sn 3.30
Dy (0.6758, 0.3242, 0.7500)  5 Sn 3.14-3.28
Dy (0.7500, 0.2500, 0.2500)  4 Dy 3.23, 4 Sn 3.28
Dy (0.8896, 0.1104, 0.7500)  5 Sn 3.15-3.28
Dy (0.9638, 0.0362, 0.2500)  4 Dy 3.23, 2 Sn 3.29
Sn (0.1904, 0.8096, 0.2500)  9 Dy 3.15-3.28
Sn (0.4039, 0.5961, 0.2500)  9 Dy 3.14-3.30
Sn (0.5961, 0.4039, 0.7500)  9 Dy 3.14-3.30
Sn (0.8096, 0.1904, 0.7500)  9 Dy 3.15-3.28

The following is a DFT calculation (PBE-GGA) of GaCu2Hg2 after structural relaxation.

Calculated values
**Space group**: P4/mbm
**Volume**: 179 Å³/cell
**Formation enthalpy at 0 K**: 0.75 eV per formula unit
**Final energy**: -2.21 eV per atom
**Energy above the most stable polymorph in this dataset**: 0.000 eV/atom

a = 6.6314 Å, b = 6.6314 Å, c = 4.0632 Å
α = 90.00°, β = 90.00°, γ = 90.00°
Closest atoms and distances in Å follow each position.
Fractional positions:
Ga (0.0000, 0.0000, 0.0000)  4 Cu 2.57
Ga (0.5000, 0.5000, 0.0000)  4 Cu 2.57
Cu (0.1375, 0.3625, 0.0000)  2 Ga 2.57, 1 Cu 2.58, 6 Hg 2.74-2.86
Cu (0.3625, 0.8625, 0.0000)  2 Ga 2.57, 1 Cu 2.58, 6 Hg 2.74-2.86
Cu (0.6375, 0.1375, 0.0000)  2 Ga 2.57, 1 Cu 2.58, 6 Hg 2.74-2.86
Cu (0.8625, 0.6375, 0.0000)  2 Ga 2.57, 1 Cu 2.58, 6 Hg 2.74-2.86
Hg (0.1657, 0.6657, 0.5000)  6 Cu 2.74-2.86
Hg (0.3343, 0.1657, 0.5000)  6 Cu 2.74-2.86
Hg (0.6657, 0.8343, 0.5000)  6 Cu 2.74-2.86
Hg (0.8343, 0.3343, 0.5000)  6 Cu 2.74-2.86

> Which of these has the highest final energy?

GaCu2Hg2